{"formula": "PmYCoIr", "functional": "PBE", "state": "optimized geometry", "ef_kj_per_mol_fu": -153.2, "spacegroup": "No. 216", "dft_energy_ev_per_fu": -28.77, "total_magnetization_mub_per_fu": 0.5, "cell": [[4.8773, 0.0000, 0.0000], [2.4386, 4.2239, 0.0000], [2.4386, 1.4080, 3.9823]], "species": ["Co", "Ir", "Pm", "Y"], "frac_coords": [[0.2500, 0.2500, 0.2500], [0.7500, 0.7500, 0.7500], [0.0000, 0.0000, 0.0000], [0.5000, 0.5000, 0.5000]]}